1.
CsMgV: optimized geometry, PBE-GGA.

Calculated values
calculated formation energy	1.165	eV/atom

abc: 5.6854 5.6854 6.7768
angles: 90.00 90.00 120.00
Space group P6_3/mmc (No. 194)
Unique sites:
Cs 0.0000 0.0000 0.0000 (multiplicity 2)
Mg 0.3333 0.6667 0.2500 (multiplicity 2)
V 0.3333 0.6667 0.7500 (multiplicity 2)

2.
Rb3Bi2Te4: optimized geometry, PBE-GGA.

Calculated values
energy relative to the elements, uncorrected	-0.5734	eV per atom

abc: 18.777 5.865 7.766
angles: 90.00 102.32 90.00
Space group C2/m (No. 12)
Unique sites:
Rb 0.000 0.000 0.000 (multiplicity 2)
Rb 0.143 0.000 0.599 (multiplicity 4)
Bi 0.159 0.500 0.035 (multiplicity 4)
Te 0.039 0.500 0.733 (multiplicity 4)
Te 0.204 0.000 0.160 (multiplicity 4)

3.
Sm3Pt7Au2: optimized geometry, PBE-GGA.

Calculated values
calculated formation energy	-0.874	eV/atom

abc: 5.4980 5.4980 26.8664
angles: 90.00 90.00 120.00
Space group R-3m (No. 166, hexagonal axes)
Unique sites:
Sm 0.0000 0.0000 0.0000 (multiplicity 3)
Sm 0.0000 0.0000 0.1395 (multiplicity 6)
Pt 0.0000 0.0000 0.5000 (multiplicity 3)
Pt 0.0044 0.5022 0.9135 (multiplicity 18)
Au 0.0000 0.0000 0.3335 (multiplicity 6)

4.
Er2Rh2O7: optimized geometry, PBE-GGA.

Calculated values
energy relative to the elements, uncorrected	-2.0861	eV per atom

abc: 10.167 10.167 10.167
angles: 90.00 90.00 90.00
Space group Fd-3m (No. 227, origin choice 2)
Unique sites:
Er 0.000 0.000 0.000 (multiplicity 16)
Rh 0.000 0.000 0.500 (multiplicity 16)
O 0.088 0.375 0.875 (multiplicity 48)
O 0.125 0.125 0.125 (multiplicity 8)

5.
TcTeIr2: optimized geometry, PBE-GGA.

Calculated values
energy relative to the elements, uncorrected	0.4978	eV per atom

abc: 2.938 4.701 4.760
angles: 90.00 90.00 90.00
Space group Pmmm (No. 47)
Unique sites:
Tc 0.000 0.000 0.000 (multiplicity 1)
Te 0.500 0.500 0.000 (multiplicity 1)
Ir 0.000 0.500 0.500 (multiplicity 1)
Ir 0.500 0.000 0.500 (multiplicity 1)

6.
Ho6GeAs3Se2: optimized geometry, PBE-GGA.

Calculated values
energy relative to the elements, uncorrected	-1.5491	eV per atom

abc: 17.840 4.095 8.212
angles: 90.00 103.19 90.00
Space group C2/m (No. 12)
Unique sites:
Ho 0.002 0.000 0.254 (multiplicity 4)
Ho 0.163 0.500 0.090 (multiplicity 4)
Ho 0.165 0.500 0.575 (multiplicity 4)
Ge 0.000 0.500 0.500 (multiplicity 2)
As 0.000 0.500 0.000 (multiplicity 2)
As 0.169 0.000 0.333 (multiplicity 4)
Se 0.168 0.000 0.837 (multiplicity 4)

7.
Pr2BBr: optimized geometry, PBE-GGA.

Calculated values
energy relative to the elements, uncorrected	-0.6972	eV per atom

abc: 4.0562 4.0562 22.1700
angles: 90.00 90.00 120.00
Space group R-3m (No. 166, hexagonal axes)
Unique sites:
Pr 0.0000 0.0000 0.2315 (multiplicity 6)
B 0.0000 0.0000 0.5000 (multiplicity 3)
Br 0.0000 0.0000 0.0000 (multiplicity 3)

8.
Tb5Er4Sc: optimized geometry, PBE-GGA.

Calculated values
calculated formation energy	0.015	eV/atom

abc: 6.207 6.628 8.342
angles: 102.26 111.81 90.02
Space group P1 (No. 1)
Unique sites:
Tb 0.000 0.000 0.000 (multiplicity 1)
Tb 0.031 0.895 0.403 (multiplicity 1)
Tb 0.200 0.393 0.408 (multiplicity 1)
Tb 0.802 0.592 0.603 (multiplicity 1)
Tb 0.833 0.496 0.001 (multiplicity 1)
Er 0.397 0.795 0.803 (multiplicity 1)
Er 0.429 0.693 0.201 (multiplicity 1)
Er 0.595 0.195 0.198 (multiplicity 1)
Er 0.633 0.095 0.603 (multiplicity 1)
Sc 0.234 0.293 0.803 (multiplicity 1)

9.
Sr2TmSn3Rh4: optimized geometry, PBE-GGA.

Calculated values
calculated formation energy	-0.701	eV/atom

abc: 4.499 4.499 11.410
angles: 90.00 90.00 90.00
Space group P-4m2 (No. 115)
Unique sites:
Sr 0.000 0.500 0.235 (multiplicity 2)
Tm 0.000 0.000 0.500 (multiplicity 1)
Sn 0.000 0.500 0.877 (multiplicity 2)
Sn 0.500 0.500 0.500 (multiplicity 1)
Rh 0.000 0.000 0.000 (multiplicity 1)
Rh 0.000 0.500 0.640 (multiplicity 2)
Rh 0.500 0.500 0.000 (multiplicity 1)

10.
BaLuSb2: optimized geometry, PBE-GGA.

Calculated values
energy relative to the elements, uncorrected	-0.8869	eV per atom

abc: 4.6526 4.6526 22.7600
angles: 90.00 90.00 120.00
Space group R-3m (No. 166, hexagonal axes)
Unique sites:
Ba 0.0000 0.0000 0.0000 (multiplicity 3)
Lu 0.0000 0.0000 0.5000 (multiplicity 3)
Sb 0.0000 0.0000 0.2333 (multiplicity 6)

11.
CsTaAsSe6: optimized geometry, PBE-GGA.

Calculated values
energy relative to the elements, uncorrected	-0.3858	eV per atom

abc: 6.5369 6.5369 8.6568
angles: 90.00 90.00 120.00
Space group P312 (No. 149)
Unique sites:
Cs 0.0000 0.0000 0.0000 (multiplicity 1)
Ta 0.3333 0.6667 0.5000 (multiplicity 1)
As 0.6667 0.3333 0.5000 (multiplicity 1)
Se 0.0032 0.3766 0.6775 (multiplicity 6)

12.
AgPd6Pb: optimized geometry, PBE-GGA.

Calculated values
calculated formation energy	-0.039	eV/atom

abc: 5.190 5.193 5.212
angles: 94.98 94.99 95.40
Space group P-1 (No. 2)
Unique sites:
Ag 0.000 0.000 0.000 (multiplicity 1)
Pd 0.047 0.752 0.450 (multiplicity 2)
Pd 0.248 0.550 0.952 (multiplicity 2)
Pd 0.452 0.046 0.752 (multiplicity 2)
Pb 0.500 0.500 0.500 (multiplicity 1)

Magnetic moment per entry: 4.25 0.00 0.00 1.56 1.19 0.00 0.00 0.00 0.00 0.00 0.00 0.00 μB per formula unit